No. 1
Entry from Alexandria: a geometry-optimized Ba2TlRh2 structure (GGA-PBEsol).

a = 3.6444 Å, b = 3.6444 Å, c = 20.9334 Å
α = 90.00°, β = 90.00°, γ = 90.00°
With the nearest neighbours (Å) after each atom.
Space group I4/mmm (No. 139)
One atom of each set of equivalent atoms:
Ba1 0.0000 0.0000 0.1240  4 Rh 3.21
Tl1 0.0000 0.0000 0.5000  4 Tl 3.64, 8 Ba 3.66
Rh1 0.0000 0.5000 0.2500  4 Rh 2.58



No. 2
Entry from Alexandria: a geometry-optimized Ba3GaAs3 structure (GGA-PBEsol).

a = 13.3206 Å, b = 19.9010 Å, c = 6.7771 Å
α = 90.00°, β = 90.00°, γ = 90.00°
With the nearest neighbours (Å) after each atom.
Space group Pnma (No. 62)
One atom of each set of equivalent atoms:
Ba1 0.0106 0.0754 0.2260  1 Ga 3.23, 6 As 3.33-3.57
Ba2 0.0205 0.2500 0.8369  6 As 3.29-3.52, 2 Ga 3.38
Ba3 0.2318 0.2500 0.3140  6 As 3.27-3.57, 2 Ga 3.38
Ba4 0.2348 0.0748 0.6888  1 Ga 3.25, 6 As 3.32-3.59
Ga1 0.1274 0.6649 0.4832  4 As 2.53-2.55
As1 0.0163 0.5908 0.2737  1 Ga 2.53
As2 0.0222 0.7500 0.6751  2 Ga 2.55
As3 0.2292 0.7500 0.2923  2 Ga 2.53
As4 0.2408 0.5919 0.6924  1 Ga 2.53



In the order shown, the computed formation enthalpy at 0 K values come out to 0.3, -7.0 eV per formula unit.